TbGdTl3: optimized geometry, PBE.

```
TbGdTl3
1.0
5.649 0.000 0.000
0.000 5.649 0.000
0.000 0.000 5.649
Gd Tb Tl
1 1 3
direct
0.000 0.000 0.000
0.500 0.500 0.500
0.500 0.000 0.000
0.000 0.500 0.000
0.000 0.000 0.500
```

- Symmetry: Pm-3m (221)
- E: -2.7917 eV/atom
- Calculated volume: 36.05 Å³/atom

Cu5Ag4: optimized geometry, PBE.

```
Cu5Ag4
1.0
-10.263 5.776 4.684
-11.444 5.445 0.161
10.091 -7.549 -1.349
Ag Cu
4 5
direct
0.056 0.056 0.000
0.169 0.169 0.000
0.831 0.831 0.000
0.944 0.944 0.000
0.275 0.275 0.000
0.388 0.388 0.000
0.500 0.500 0.000
0.612 0.612 0.000
0.725 0.725 0.000
```

- ΔE_f: 0.101 eV per atom
- Symmetry: Immm (71)
- E: -3.2193 eV/atom
- Calculated volume: 14.49 Å³/atom

MgTcBW: optimized geometry, PBE.

```
MgTcBW
1.0
-2.985 -0.196 2.948
-1.617 3.535 1.589
-3.943 1.108 -0.928
B Mg Tc W
1 1 1 1
direct
0.250 0.250 0.250
0.750 0.750 0.750
0.500 0.500 0.500
0.000 0.000 0.000
```

- Symmetry: F-43m (216)
- E: -6.9866 eV/atom
- Calculated volume: 13.10 Å³/atom